Record 1
CaHgSb2 PBE relaxed; ΔE_f (raw) = -1.49 eV/f.u.; D(E_F) = 0.4322 states/eV per atom; E_tot = -3.01 eV/atom
1.0
4.260 0.000 0.000
0.000 4.260 0.000
0.000 0.000 6.436
Sb Ca Hg
2 1 1
Direct
0.000 0.000 0.030
0.000 0.000 0.470
0.500 0.500 0.250
0.500 0.500 0.750

=====

Record 2
CaHg2Sb2 PBE relaxed; ΔE_f (raw) = -1.21 eV/f.u.; D(E_F) = 0.3273 states/eV per atom; E_tot = -2.41 eV/atom
1.0
-2.082 -3.264 -1.729
-0.227 -1.868 3.799
-8.788 1.490 2.573
Sb Ca Hg
2 1 2
Direct
0.420 0.420 0.160
0.580 0.580 0.840
0.000 0.000 0.000
0.750 0.250 0.500
0.250 0.750 0.500

=====

Record 3
CaHgSb2 PBE relaxed; ΔE_f (raw) = -1.62 eV/f.u.; D(E_F) = 0.4697 states/eV per atom; E_tot = -3.04 eV/atom
1.0
8.295 -0.008 -0.013
-2.579 3.834 0.012
3.137 2.108 3.427
Sb Ca Hg
2 1 1
Direct
0.000 0.000 0.000
0.500 0.000 0.500
0.000 0.500 0.500
0.500 0.500 0.000

=====

Record 4
CaHgSb2 PBE relaxed; ΔE_f (raw) = -1.20 eV/f.u.; D(E_F) = 0.6298 states/eV per atom; E_tot = -2.94 eV/atom
1.0
-1.887 -1.224 3.313
3.531 -0.554 1.806
-0.161 6.489 2.306
Sb Ca Hg
2 1 1
Direct
0.000 0.000 0.013
0.500 0.500 0.228
0.000 0.000 0.506
0.500 0.500 0.753